LiYHf | PBE | relaxed

Values from the calculation:
* density of states at the Fermi level: 8.25 states/eV/cell
* formation enthalpy at 0 K: 0.205 eV per atom
* calculated volume: 25.1 Å³/atom
* space-group type: P2_1/m
* total DFT energy (no corrections): -17.7 eV/f.u.

The structure in POSCAR format:
```
LiYHf
1.0
5.828 0.000 0.000
0.000 3.256 0.000
-1.761 0.000 7.928
Li Y Hf
2 2 2
direct
0.202 0.250 0.489 Li
0.798 0.750 0.511 Li
0.466 0.250 0.179 Y
0.534 0.750 0.821 Y
0.038 0.250 0.853 Hf
0.962 0.750 0.147 Hf
```

TcP2Ru | PBE | relaxed

Values from the calculation:
* density of states at the Fermi level: 2.96 states/eV/cell
* formation enthalpy at 0 K: -0.145 eV per atom
* calculated volume: 14.0 Å³/atom
* space-group type: R3m
* total DFT energy (no corrections): -31.0 eV/f.u.

The structure in POSCAR format:
```
TcP2Ru
1.0
1.483 0.856 7.360
-1.483 0.856 7.360
0.000 -1.712 7.360
Tc P Ru
1 2 1
direct
0.000 0.000 0.000 Tc
0.261 0.261 0.261 P
0.509 0.509 0.509 P
0.771 0.771 0.771 Ru
```

K4Np3WN8 | PBE | relaxed

Values from the calculation:
* density of states at the Fermi level: 16.82 states/eV/cell
* calculated volume: 16.0 Å³/atom
* uncorrected formation energy: -10.6 eV per formula unit
* space-group type: R-3m
* total DFT energy (no corrections): -133.3 eV/f.u.

The structure in POSCAR format:
```
K4Np3WN8
1.0
3.400 1.963 6.398
-3.400 1.963 6.398
0.000 -3.926 6.398
K Np W N
4 3 1 8
direct
0.000 0.000 0.000 K
0.000 0.500 0.500 K
0.500 0.000 0.500 K
0.500 0.500 0.000 K
0.000 0.000 0.500 Np
0.000 0.500 0.000 Np
0.500 0.000 0.000 Np
0.500 0.500 0.500 W
0.221 0.221 0.221 N
0.241 0.712 0.712 N
0.288 0.288 0.759 N
0.288 0.759 0.288 N
0.712 0.241 0.712 N
0.712 0.712 0.241 N
0.759 0.288 0.288 N
0.779 0.779 0.779 N
```

InSbS | PBE | relaxed

Values from the calculation:
* calculated volume: 32.5 Å³/atom
* uncorrected formation energy: -1.0 eV per formula unit
* space-group type: C2/m
* total DFT energy (no corrections): -11.9 eV/f.u.

The structure in POSCAR format:
```
InSbS
1.0
6.411 -2.018 0.000
6.411 2.018 0.000
-3.206 0.000 7.527
In Sb S
2 2 2
direct
0.184 0.184 0.111 In
0.816 0.816 0.889 In
0.162 0.162 0.441 Sb
0.838 0.838 0.559 Sb
0.385 0.385 0.100 S
0.615 0.615 0.900 S
```

Dy5Hg2Au2 | PBE | relaxed

Values from the calculation:
* density of states at the Fermi level: 17.67 states/eV/cell
* formation enthalpy at 0 K: -0.570 eV per atom
* calculated volume: 26.3 Å³/atom
* space-group type: Cmce
* total DFT energy (no corrections): -35.3 eV/f.u.

The structure in POSCAR format:
```
Dy5Hg2Au2
1.0
8.340 -3.804 0.000
8.340 3.804 0.000
0.000 0.000 7.470
Dy Hg Au
10 4 4
direct
0.000 0.000 0.000 Dy
0.042 0.689 0.668 Dy
0.189 0.542 0.168 Dy
0.311 0.958 0.668 Dy
0.458 0.811 0.168 Dy
0.500 0.500 0.500 Dy
0.542 0.189 0.832 Dy
0.689 0.042 0.332 Dy
0.811 0.458 0.832 Dy
0.958 0.311 0.332 Dy
0.216 0.216 0.000 Hg
0.284 0.284 0.500 Hg
0.716 0.716 0.500 Hg
0.784 0.784 0.000 Hg
0.135 0.865 0.367 Au
0.365 0.635 0.867 Au
0.635 0.365 0.133 Au
0.865 0.135 0.633 Au
```

Ca2PaOsO8 | PBE | relaxed

Values from the calculation:
* density of states at the Fermi level: 2.44 states/eV/cell
* calculated volume: 14.6 Å³/atom
* uncorrected formation energy: -29.3 eV per formula unit
* space-group type: Cmmm
* total DFT energy (no corrections): -93.7 eV/f.u.

The structure in POSCAR format:
```
Ca2PaOsO8
1.0
3.540 -3.652 0.000
3.540 3.652 0.000
0.000 0.000 6.766
Ca Pa Os O
2 1 1 8
direct
0.000 0.000 0.245 Ca
0.000 0.000 0.755 Ca
0.500 0.500 0.500 Pa
0.500 0.500 0.000 Os
0.214 0.214 0.500 O
0.242 0.242 0.000 O
0.322 0.678 0.218 O
0.322 0.678 0.782 O
0.678 0.322 0.218 O
0.678 0.322 0.782 O
0.758 0.758 0.000 O
0.786 0.786 0.500 O
```

Rb2LaI7 | PBE | relaxed

Values from the calculation:
* density of states at the Fermi level: 0.00 states/eV/cell
* calculated volume: 60.0 Å³/atom
* uncorrected formation energy: -10.6 eV per formula unit
* space-group type: I4/mmm
* total DFT energy (no corrections): -28.3 eV/f.u.

The structure in POSCAR format:
```
Rb2LaI7
1.0
-4.972 4.972 6.071
4.972 -4.972 6.071
4.972 4.972 -6.071
Rb La I
2 1 7
direct
0.250 0.750 0.500 Rb
0.750 0.250 0.500 Rb
0.000 0.000 0.000 La
0.222 0.222 0.444 I
0.222 0.778 0.000 I
0.264 0.264 0.000 I
0.500 0.500 0.000 I
0.736 0.736 0.000 I
0.778 0.222 0.000 I
0.778 0.778 0.556 I
```

InTc | PBE | relaxed

Values from the calculation:
* density of states at the Fermi level: 2.79 states/eV/cell
* formation enthalpy at 0 K: 0.297 eV per atom
* calculated volume: 18.6 Å³/atom
* space-group type: Cmcm
* total DFT energy (no corrections): -12.5 eV/f.u.

The structure in POSCAR format:
```
InTc
1.0
1.587 -5.402 0.000
1.587 5.402 0.000
0.000 0.000 4.330
In Tc
2 2
direct
0.172 0.828 0.750 In
0.828 0.172 0.250 In
0.446 0.554 0.750 Tc
0.554 0.446 0.250 Tc
```

LiDyHfRh | PBE | relaxed

Values from the calculation:
* density of states at the Fermi level: 3.38 states/eV/cell
* formation enthalpy at 0 K: -0.358 eV per atom
* calculated volume: 19.2 Å³/atom
* space-group type: F-43m
* total DFT energy (no corrections): -25.3 eV/f.u.

The structure in POSCAR format:
```
LiDyHfRh
1.0
0.000 3.376 3.376
3.376 0.000 3.376
3.376 3.376 0.000
Li Dy Hf Rh
1 1 1 1
direct
0.000 0.000 0.000 Li
0.250 0.250 0.250 Dy
0.750 0.750 0.750 Hf
0.500 0.500 0.500 Rh
```

TbSm2Ho3Tm6 | PBE | relaxed

Values from the calculation:
* density of states at the Fermi level: 16.23 states/eV/cell
* formation enthalpy at 0 K: 0.022 eV per atom
* calculated volume: 30.9 Å³/atom
* space-group type: C2/m
* total DFT energy (no corrections): -54.4 eV/f.u.

The structure in POSCAR format:
```
TbSm2Ho3Tm6
1.0
3.056 -5.288 0.000
3.056 5.288 0.000
-2.032 0.000 11.470
Tb Sm Ho Tm
1 2 3 6
direct
0.000 0.000 0.000 Tb
0.333 0.667 0.000 Sm
0.667 0.333 0.000 Sm
0.167 0.833 0.500 Ho
0.500 0.500 0.500 Ho
0.833 0.167 0.500 Ho
0.085 0.418 0.252 Tm
0.248 0.248 0.748 Tm
0.418 0.085 0.252 Tm
0.582 0.915 0.748 Tm
0.752 0.752 0.252 Tm
0.915 0.582 0.748 Tm
```

NpBeNb2 | PBE | relaxed

Values from the calculation:
* density of states at the Fermi level: 6.08 states/eV/cell
* formation enthalpy at 0 K: 0.419 eV per atom
* calculated volume: 17.3 Å³/atom
* space-group type: R-3m
* total DFT energy (no corrections): -35.1 eV/f.u.

The structure in POSCAR format:
```
NpBeNb2
1.0
1.418 0.819 9.953
-1.418 0.819 9.953
0.000 -1.637 9.953
Np Be Nb
1 1 2
direct
0.000 0.000 0.000 Np
0.500 0.500 0.500 Be
0.238 0.238 0.238 Nb
0.762 0.762 0.762 Nb
```

TlReCl5 | PBE | relaxed

Values from the calculation:
* density of states at the Fermi level: 2.59 states/eV/cell
* calculated volume: 37.9 Å³/atom
* uncorrected formation energy: -3.1 eV per formula unit
* space-group type: C2/c
* total DFT energy (no corrections): -27.1 eV/f.u.

The structure in POSCAR format:
```
TlReCl5
1.0
8.808 -2.720 0.000
8.808 2.720 0.000
-4.989 0.000 11.081
Tl Re Cl
2 2 10
direct
0.250 0.750 0.750 Tl
0.750 0.250 0.250 Tl
0.000 0.500 0.500 Re
0.500 0.000 0.000 Re
0.070 0.566 0.708 Cl
0.126 0.628 0.486 Cl
0.250 0.750 0.250 Cl
0.372 0.874 0.014 Cl
0.434 0.930 0.792 Cl
0.566 0.070 0.208 Cl
0.628 0.126 0.986 Cl
0.750 0.250 0.750 Cl
0.874 0.372 0.514 Cl
0.930 0.434 0.292 Cl
```

Be2Zn4Au5 | PBE | relaxed

Values from the calculation:
* density of states at the Fermi level: 4.30 states/eV/cell
* formation enthalpy at 0 K: -0.154 eV per atom
* calculated volume: 15.0 Å³/atom
* space-group type: Pbam
* total DFT energy (no corrections): -30.6 eV/f.u.

The structure in POSCAR format:
```
Be2Zn4Au5
1.0
6.894 0.000 0.000
0.000 16.038 0.000
0.000 0.000 2.989
Be Zn Au
4 8 10
direct
0.045 0.199 0.000 Be
0.455 0.699 0.000 Be
0.545 0.301 0.000 Be
0.955 0.801 0.000 Be
0.067 0.649 0.000 Zn
0.204 0.936 0.000 Zn
0.296 0.436 0.000 Zn
0.433 0.149 0.000 Zn
0.567 0.851 0.000 Zn
0.704 0.564 0.000 Zn
0.796 0.064 0.000 Zn
0.933 0.351 0.000 Zn
0.000 0.500 0.500 Au
0.124 0.084 0.500 Au
0.248 0.785 0.500 Au
0.252 0.285 0.500 Au
0.376 0.584 0.500 Au
0.500 0.000 0.500 Au
0.624 0.416 0.500 Au
0.748 0.715 0.500 Au
0.752 0.215 0.500 Au
0.876 0.916 0.500 Au
```

Sr2HoF6 | PBE | relaxed

Values from the calculation:
* density of states at the Fermi level: 3.55 states/eV/cell
* calculated volume: 19.3 Å³/atom
* uncorrected formation energy: -33.2 eV per formula unit
* space-group type: P4_2/mnm
* total DFT energy (no corrections): -52.4 eV/f.u.

The structure in POSCAR format:
```
Sr2HoF6
1.0
5.426 0.000 0.000
0.000 5.426 0.000
0.000 0.000 11.775
Sr Ho F
4 2 12
direct
0.000 0.000 0.168 Sr
0.000 0.000 0.832 Sr
0.500 0.500 0.332 Sr
0.500 0.500 0.668 Sr
0.000 0.000 0.500 Ho
0.500 0.500 0.000 Ho
0.179 0.179 0.352 F
0.179 0.179 0.648 F
0.209 0.209 0.000 F
0.291 0.709 0.500 F
0.321 0.679 0.148 F
0.321 0.679 0.852 F
0.679 0.321 0.148 F
0.679 0.321 0.852 F
0.709 0.291 0.500 F
0.791 0.791 0.000 F
0.821 0.821 0.352 F
0.821 0.821 0.648 F
```

Ba2Ir2Br | PBE | relaxed

Values from the calculation:
* density of states at the Fermi level: 3.51 states/eV/cell
* calculated volume: 30.5 Å³/atom
* uncorrected formation energy: -0.8 eV per formula unit
* space-group type: I4/mmm
* total DFT energy (no corrections): -24.0 eV/f.u.

The structure in POSCAR format:
```
Ba2Ir2Br
1.0
-3.058 3.058 4.083
3.058 -3.058 4.083
3.058 3.058 -4.083
Ba Ir Br
2 2 1
direct
0.250 0.750 0.500 Ba
0.750 0.250 0.500 Ba
0.148 0.148 0.000 Ir
0.852 0.852 0.000 Ir
0.500 0.500 0.000 Br
```

TcI3O | PBE | relaxed

Values from the calculation:
* density of states at the Fermi level: 9.65 states/eV/cell
* calculated volume: 30.7 Å³/atom
* uncorrected formation energy: 4.9 eV per formula unit
* space-group type: Pm-3m
* total DFT energy (no corrections): -15.1 eV/f.u.

The structure in POSCAR format:
```
TcI3O
1.0
5.353 0.000 0.000
0.000 5.353 0.000
0.000 0.000 5.353
Tc I O
1 3 1
direct
0.000 0.000 0.000 Tc
0.000 0.000 0.500 I
0.000 0.500 0.000 I
0.500 0.000 0.000 I
0.500 0.500 0.500 O
```

Tl2Cr2TeS6 | PBE | relaxed

Values from the calculation:
* density of states at the Fermi level: 0.22 states/eV/cell
* calculated volume: 23.8 Å³/atom
* uncorrected formation energy: -4.7 eV per formula unit
* space-group type: C2/m
* total DFT energy (no corrections): -56.5 eV/f.u.

The structure in POSCAR format:
```
Tl2Cr2TeS6
1.0
3.167 -5.490 0.000
3.167 5.490 0.000
-1.932 0.000 7.525
Tl Cr Te S
2 2 1 6
direct
0.160 0.840 0.000 Tl
0.840 0.160 0.000 Tl
0.333 0.667 0.500 Cr
0.667 0.333 0.500 Cr
0.000 0.000 0.500 Te
0.055 0.413 0.680 S
0.306 0.306 0.320 S
0.413 0.055 0.680 S
0.587 0.945 0.320 S
0.694 0.694 0.680 S
0.945 0.587 0.320 S
```

Cs2CaSe | PBE | relaxed

Values from the calculation:
* density of states at the Fermi level: 4.87 states/eV/cell
* calculated volume: 68.4 Å³/atom
* uncorrected formation energy: -2.7 eV per formula unit
* space-group type: I-42d
* total DFT energy (no corrections): -9.9 eV/f.u.

The structure in POSCAR format:
```
Cs2CaSe
1.0
-6.990 6.990 2.801
6.990 -6.990 2.801
6.990 6.990 -2.801
Cs Ca Se
4 2 2
direct
0.375 0.209 0.334 Cs
0.791 0.125 0.166 Cs
0.875 0.041 0.666 Cs
0.959 0.625 0.834 Cs
0.250 0.750 0.500 Ca
0.500 0.500 0.000 Ca
0.000 0.000 0.000 Se
0.750 0.250 0.500 Se
```

NaBeAl2Au5 | PBE | relaxed

Values from the calculation:
* density of states at the Fermi level: 2.86 states/eV/cell
* formation enthalpy at 0 K: -0.217 eV per atom
* calculated volume: 19.2 Å³/atom
* space-group type: Immm
* total DFT energy (no corrections): -30.9 eV/f.u.

The structure in POSCAR format:
```
NaBeAl2Au5
1.0
-2.247 2.900 6.634
2.247 -2.900 6.634
2.247 2.900 -6.634
Na Be Al Au
1 1 2 5
direct
0.000 0.000 0.000 Na
0.500 0.500 0.000 Be
0.306 0.806 0.500 Al
0.694 0.194 0.500 Al
0.102 0.354 0.748 Au
0.394 0.646 0.748 Au
0.500 0.000 0.500 Au
0.606 0.354 0.252 Au
0.898 0.646 0.252 Au
```

La2InPdSe5 | PBE | relaxed

Values from the calculation:
* density of states at the Fermi level: 11.64 states/eV/cell
* calculated volume: 26.6 Å³/atom
* uncorrected formation energy: -11.2 eV per formula unit
* space-group type: Cmc2_1
* total DFT energy (no corrections): -46.4 eV/f.u.

The structure in POSCAR format:
```
La2InPdSe5
1.0
2.125 -9.211 0.000
2.125 9.211 0.000
0.000 0.000 12.217
La In Pd Se
4 2 2 10
direct
0.115 0.885 0.500 La
0.123 0.877 0.127 La
0.877 0.123 0.627 La
0.885 0.115 0.000 La
0.412 0.588 0.292 In
0.588 0.412 0.792 In
0.256 0.744 0.943 Pd
0.744 0.256 0.443 Pd
0.038 0.962 0.897 Se
0.303 0.697 0.145 Se
0.310 0.690 0.466 Se
0.364 0.636 0.814 Se
0.496 0.504 0.107 Se
0.504 0.496 0.607 Se
0.636 0.364 0.314 Se
0.690 0.310 0.966 Se
0.697 0.303 0.645 Se
0.962 0.038 0.397 Se
```

PmPrCuTc | PBE | relaxed

Values from the calculation:
* density of states at the Fermi level: 4.58 states/eV/cell
* formation enthalpy at 0 K: 0.070 eV per atom
* calculated volume: 22.5 Å³/atom
* space-group type: F-43m
* total DFT energy (no corrections): -23.7 eV/f.u.

The structure in POSCAR format:
```
PmPrCuTc
1.0
0.000 3.558 3.558
3.558 0.000 3.558
3.558 3.558 0.000
Pm Pr Cu Tc
1 1 1 1
direct
0.000 0.000 0.000 Pm
0.500 0.500 0.500 Pr
0.250 0.250 0.250 Cu
0.750 0.750 0.750 Tc
```